The following is a GGA-PBE calculation of an optimized crystal structure of NaInMo3, from Alexandria via LeMat-Bulk.

Cell: 5.004 5.004 5.004 Å, 90.00 90.00 90.00°
Space group Pm-3m (No. 221)
Unique sites:
1 Na 0.000 0.000 0.000 (multiplicity 1)
2 In 0.500 0.500 0.500 (multiplicity 1)
3 Mo 0.000 0.500 0.500 (multiplicity 3)

## Properties
Relative energy among the computed polymorphs: 0.19 eV per formula unit
Energy of formation from the pure elements: 2.394 eV per atom
Crystal system: cubic
Uncorrected energy: -24.6 eV per cell